This record from Alexandria describes a relaxed structure of LaCuTe. The functional is PBE.

Values from the calculation:
The value obtained for the raw formation energy is -824 meV per atom. Its space group is P3m1, No. 156.

abc: 4.4269 4.4269 4.5421
angles: 90.00 90.00 120.00
With the nearest neighbours (Å) after each atom.
Sites, in units of the cell vectors:
La  0.0000  0.0000  0.0000  3 Cu 2.94
Cu  0.6667  0.3333  0.6789  3 Te 2.71, 3 La 2.94
Te  0.3333  0.6667  0.4839  3 Cu 2.71



This record from Alexandria describes a relaxed structure of K3Cd2Te4. The functional is PBE.

Values from the calculation:
The value obtained for the raw formation energy is -732 meV per atom. Its space group is C2/m, No. 12. The calculation puts the energy above the most stable polymorph in this dataset at 0 meV per atom.

abc: 9.4664 9.4664 8.1022
angles: 111.29 111.29 29.78
With the nearest neighbours (Å) after each atom.
Sites, in units of the cell vectors:
K  0.0000  0.0000  0.0000  6 Te 3.44-3.61
K  0.1297  0.1297  0.5574  7 Te 3.61-3.79, 2 Cd 3.99
K  0.8703  0.8703  0.4426  7 Te 3.61-3.79, 2 Cd 3.99
Cd  0.3329  0.3329  0.0287  4 Te 2.84-2.97
Cd  0.6671  0.6671  0.9713  4 Te 2.84-2.97
Te  0.2126  0.2126  0.1928  3 Cd 2.95-2.97
Te  0.4891  0.4891  0.2895  1 Cd 2.84
Te  0.5109  0.5109  0.7105  1 Cd 2.84
Te  0.7874  0.7874  0.8072  3 Cd 2.95-2.97



This record from Alexandria describes a relaxed structure of PBr. The functional is PBE.

Values from the calculation:
The value obtained for the raw formation energy is 5 meV per atom. Its space group is P-1, No. 2. The calculation puts the energy above the most stable polymorph in this dataset at 135 meV per atom.

abc: 4.4696 5.9416 6.2046
angles: 92.90 93.95 108.56
With the nearest neighbours (Å) after each atom.
Sites, in units of the cell vectors:
P  0.1579  0.4959  0.1266  1 P 2.05, 1 Br 2.25
P  0.8421  0.5041  0.8734  1 P 2.05, 1 Br 2.25
Br  0.1724  0.8097  0.7182  1 P 2.25
Br  0.8276  0.1903  0.2818  1 P 2.25